# TeIrIN2 GGA-PBE relaxed
# - Polymorph energy (0 for the lowest one): 0.0 kJ per mole of atoms
# - Formation energy (no corrections): 1.114 eV/atom
# - SG: P4/mmm, No. 123
data_TeIrIN2
_chemical_formula_sum 'Te1 Ir1 I1 N2'
_symmetry_space_group_name_H-M 'P 1'
_symmetry_Int_Tables_number 1
_cell_length_a 4.005
_cell_length_b 4.005
_cell_length_c 5.928
_cell_angle_alpha 90.00
_cell_angle_beta 90.00
_cell_angle_gamma 90.00
loop_
_symmetry_equiv_pos_as_xyz
'x,y,z'
loop_
_atom_site_label
_atom_site_type_symbol
_atom_site_fract_x
_atom_site_fract_y
_atom_site_fract_z
Te1 Te 0.000 0.000 0.000
Ir1 Ir 0.000 0.000 0.500
I1 I 0.500 0.500 0.000
N1 N 0.000 0.500 0.500
N2 N 0.500 0.000 0.500

# TeIrI2N GGA-PBE relaxed
# - Polymorph energy (0 for the lowest one): 114.1 kJ per mole of atoms
# - Formation energy (no corrections): 1.708 eV/atom
# - SG: P4/mmm, No. 123
data_TeIrI2N
_chemical_formula_sum 'Te1 Ir1 I2 N1'
_symmetry_space_group_name_H-M 'P 1'
_symmetry_Int_Tables_number 1
_cell_length_a 5.485
_cell_length_b 5.485
_cell_length_c 5.041
_cell_angle_alpha 90.00
_cell_angle_beta 90.00
_cell_angle_gamma 90.00
loop_
_symmetry_equiv_pos_as_xyz
'x,y,z'
loop_
_atom_site_label
_atom_site_type_symbol
_atom_site_fract_x
_atom_site_fract_y
_atom_site_fract_z
Te1 Te 0.000 0.000 0.000
Ir1 Ir 0.000 0.000 0.500
I1 I 0.000 0.500 0.500
I2 I 0.500 0.000 0.500
N1 N 0.500 0.500 0.000

# TiIrI2N GGA-PBE relaxed
# - Polymorph energy (0 for the lowest one): 19.9 kJ per mole of atoms
# - Formation energy (no corrections): 0.719 eV/atom
# - SG: P4/mmm, No. 123
data_TiIrI2N
_chemical_formula_sum 'Ti1 Ir1 I2 N1'
_symmetry_space_group_name_H-M 'P 1'
_symmetry_Int_Tables_number 1
_cell_length_a 5.506
_cell_length_b 5.506
_cell_length_c 3.649
_cell_angle_alpha 90.00
_cell_angle_beta 90.00
_cell_angle_gamma 90.00
loop_
_symmetry_equiv_pos_as_xyz
'x,y,z'
loop_
_atom_site_label
_atom_site_type_symbol
_atom_site_fract_x
_atom_site_fract_y
_atom_site_fract_z
Ti1 Ti 0.000 0.000 0.000
Ir1 Ir 0.500 0.500 0.500
I1 I 0.000 0.500 0.000
I2 I 0.500 0.000 0.000
N1 N 0.000 0.000 0.500

# TiIrI2N GGA-PBE relaxed
# - Polymorph energy (0 for the lowest one): 0.0 kJ per mole of atoms
# - Formation energy (no corrections): 0.513 eV/atom
# - SG: P4/mmm, No. 123
data_TiIrI2N
_chemical_formula_sum 'Ti1 Ir1 I2 N1'
_symmetry_space_group_name_H-M 'P 1'
_symmetry_Int_Tables_number 1
_cell_length_a 5.669
_cell_length_b 5.669
_cell_length_c 3.696
_cell_angle_alpha 90.00
_cell_angle_beta 90.00
_cell_angle_gamma 90.00
loop_
_symmetry_equiv_pos_as_xyz
'x,y,z'
loop_
_atom_site_label
_atom_site_type_symbol
_atom_site_fract_x
_atom_site_fract_y
_atom_site_fract_z
Ti1 Ti 0.000 0.000 0.000
Ir1 Ir 0.500 0.500 0.500
I1 I 0.000 0.500 0.500
I2 I 0.500 0.000 0.500
N1 N 0.500 0.500 0.000

# TlIrI2N GGA-PBE relaxed
# - Polymorph energy (0 for the lowest one): 0.0 kJ per mole of atoms
# - Formation energy (no corrections): 0.136 eV/atom
# - SG: P4/mmm, No. 123
data_TlIrI2N
_chemical_formula_sum 'Tl1 Ir1 I2 N1'
_symmetry_space_group_name_H-M 'P 1'
_symmetry_Int_Tables_number 1
_cell_length_a 5.894
_cell_length_b 5.894
_cell_length_c 3.759
_cell_angle_alpha 90.00
_cell_angle_beta 90.00
_cell_angle_gamma 90.00
loop_
_symmetry_equiv_pos_as_xyz
'x,y,z'
loop_
_atom_site_label
_atom_site_type_symbol
_atom_site_fract_x
_atom_site_fract_y
_atom_site_fract_z
Tl1 Tl 0.000 0.000 0.000
Ir1 Ir 0.500 0.500 0.500
I1 I 0.000 0.500 0.500
I2 I 0.500 0.000 0.500
N1 N 0.500 0.500 0.000

# TlIrI2N GGA-PBE relaxed
# - Polymorph energy (0 for the lowest one): 164.6 kJ per mole of atoms
# - Formation energy (no corrections): 1.842 eV/atom
# - SG: P4/mmm, No. 123
data_TlIrI2N
_chemical_formula_sum 'Tl1 Ir1 I2 N1'
_symmetry_space_group_name_H-M 'P 1'
_symmetry_Int_Tables_number 1
_cell_length_a 6.074
_cell_length_b 6.074
_cell_length_c 4.068
_cell_angle_alpha 90.00
_cell_angle_beta 90.00
_cell_angle_gamma 90.00
loop_
_symmetry_equiv_pos_as_xyz
'x,y,z'
loop_
_atom_site_label
_atom_site_type_symbol
_atom_site_fract_x
_atom_site_fract_y
_atom_site_fract_z
Tl1 Tl 0.000 0.000 0.000
Ir1 Ir 0.500 0.500 0.500
I1 I 0.000 0.500 0.000
I2 I 0.500 0.000 0.000
N1 N 0.000 0.000 0.500

# VIrIN2 GGA-PBE relaxed
# - Polymorph energy (0 for the lowest one): 21.0 kJ per mole of atoms
# - Formation energy (no corrections): 1.244 eV/atom
# - SG: P4/mmm, No. 123
data_VIrIN2
_chemical_formula_sum 'V1 Ir1 I1 N2'
_symmetry_space_group_name_H-M 'P 1'
_symmetry_Int_Tables_number 1
_cell_length_a 3.776
_cell_length_b 3.776
_cell_length_c 7.727
_cell_angle_alpha 90.00
_cell_angle_beta 90.00
_cell_angle_gamma 90.00
loop_
_symmetry_equiv_pos_as_xyz
'x,y,z'
loop_
_atom_site_label
_atom_site_type_symbol
_atom_site_fract_x
_atom_site_fract_y
_atom_site_fract_z
V1 V 0.000 0.000 0.000
Ir1 Ir 0.500 0.500 0.500
I1 I 0.500 0.500 0.000
N1 N 0.000 0.500 0.500
N2 N 0.500 0.000 0.500

# VIrIN2 GGA-PBE relaxed
# - Polymorph energy (0 for the lowest one): 0.0 kJ per mole of atoms
# - Formation energy (no corrections): 1.026 eV/atom
# - SG: P4/mmm, No. 123
data_VIrIN2
_chemical_formula_sum 'V1 Ir1 I1 N2'
_symmetry_space_group_name_H-M 'P 1'
_symmetry_Int_Tables_number 1
_cell_length_a 3.765
_cell_length_b 3.765
_cell_length_c 5.948
_cell_angle_alpha 90.00
_cell_angle_beta 90.00
_cell_angle_gamma 90.00
loop_
_symmetry_equiv_pos_as_xyz
'x,y,z'
loop_
_atom_site_label
_atom_site_type_symbol
_atom_site_fract_x
_atom_site_fract_y
_atom_site_fract_z
V1 V 0.000 0.000 0.000
Ir1 Ir 0.500 0.500 0.500
I1 I 0.000 0.000 0.500
N1 N 0.000 0.500 0.000
N2 N 0.500 0.000 0.000

# YIrIN2 GGA-PBE relaxed
# - Polymorph energy (0 for the lowest one): 0.0 kJ per mole of atoms
# - Formation energy (no corrections): 0.743 eV/atom
# - SG: P4/mmm, No. 123
data_YIrIN2
_chemical_formula_sum 'Y1 Ir1 I1 N2'
_symmetry_space_group_name_H-M 'P 1'
_symmetry_Int_Tables_number 1
_cell_length_a 4.064
_cell_length_b 4.064
_cell_length_c 5.433
_cell_angle_alpha 90.00
_cell_angle_beta 90.00
_cell_angle_gamma 90.00
loop_
_symmetry_equiv_pos_as_xyz
'x,y,z'
loop_
_atom_site_label
_atom_site_type_symbol
_atom_site_fract_x
_atom_site_fract_y
_atom_site_fract_z
Y1 Y 0.000 0.000 0.000
Ir1 Ir 0.500 0.500 0.500
I1 I 0.500 0.500 0.000
N1 N 0.000 0.500 0.500
N2 N 0.500 0.000 0.500

# YIrIN2 GGA-PBE relaxed
# - Polymorph energy (0 for the lowest one): 68.4 kJ per mole of atoms
# - Formation energy (no corrections): 1.452 eV/atom
# - SG: P4/mmm, No. 123
data_YIrIN2
_chemical_formula_sum 'Y1 Ir1 I1 N2'
_symmetry_space_group_name_H-M 'P 1'
_symmetry_Int_Tables_number 1
_cell_length_a 4.324
_cell_length_b 4.324
_cell_length_c 6.283
_cell_angle_alpha 90.00
_cell_angle_beta 90.00
_cell_angle_gamma 90.00
loop_
_symmetry_equiv_pos_as_xyz
'x,y,z'
loop_
_atom_site_label
_atom_site_type_symbol
_atom_site_fract_x
_atom_site_fract_y
_atom_site_fract_z
Y1 Y 0.000 0.000 0.000
Ir1 Ir 0.500 0.500 0.500
I1 I 0.000 0.000 0.500
N1 N 0.000 0.500 0.000
N2 N 0.500 0.000 0.000

# ZnIrIN2 GGA-PBE relaxed
# - Polymorph energy (0 for the lowest one): 0.0 kJ per mole of atoms
# - Formation energy (no corrections): 0.773 eV/atom
# - SG: P4/mmm, No. 123
data_ZnIrIN2
_chemical_formula_sum 'Zn1 Ir1 I1 N2'
_symmetry_space_group_name_H-M 'P 1'
_symmetry_Int_Tables_number 1
_cell_length_a 3.800
_cell_length_b 3.800
_cell_length_c 8.280
_cell_angle_alpha 90.00
_cell_angle_beta 90.00
_cell_angle_gamma 90.00
loop_
_symmetry_equiv_pos_as_xyz
'x,y,z'
loop_
_atom_site_label
_atom_site_type_symbol
_atom_site_fract_x
_atom_site_fract_y
_atom_site_fract_z
Zn1 Zn 0.000 0.000 0.000
Ir1 Ir 0.500 0.500 0.500
I1 I 0.500 0.500 0.000
N1 N 0.000 0.500 0.500
N2 N 0.500 0.000 0.500

# ZnIrIN2 GGA-PBE relaxed
# - Polymorph energy (0 for the lowest one): 114.6 kJ per mole of atoms
# - Formation energy (no corrections): 1.960 eV/atom
# - SG: P4/mmm, No. 123
data_ZnIrIN2
_chemical_formula_sum 'Zn1 Ir1 I1 N2'
_symmetry_space_group_name_H-M 'P 1'
_symmetry_Int_Tables_number 1
_cell_length_a 3.861
_cell_length_b 3.861
_cell_length_c 6.382
_cell_angle_alpha 90.00
_cell_angle_beta 90.00
_cell_angle_gamma 90.00
loop_
_symmetry_equiv_pos_as_xyz
'x,y,z'
loop_
_atom_site_label
_atom_site_type_symbol
_atom_site_fract_x
_atom_site_fract_y
_atom_site_fract_z
Zn1 Zn 0.000 0.000 0.000
Ir1 Ir 0.500 0.500 0.500
I1 I 0.000 0.000 0.500
N1 N 0.000 0.500 0.000
N2 N 0.500 0.000 0.000

# Na3IrI GGA-PBE relaxed
# - Polymorph energy (0 for the lowest one): 0.0 kJ per mole of atoms
# - Formation energy (no corrections): 0.275 eV/atom
# - SG: Pm-3m, No. 221
data_Na3IrI
_chemical_formula_sum 'Na3 Ir1 I1'
_symmetry_space_group_name_H-M 'P 1'
_symmetry_Int_Tables_number 1
_cell_length_a 5.602
_cell_length_b 5.602
_cell_length_c 5.602
_cell_angle_alpha 90.00
_cell_angle_beta 90.00
_cell_angle_gamma 90.00
loop_
_symmetry_equiv_pos_as_xyz
'x,y,z'
loop_
_atom_site_label
_atom_site_type_symbol
_atom_site_fract_x
_atom_site_fract_y
_atom_site_fract_z
Na1 Na 0.000 0.000 0.500
Na2 Na 0.000 0.500 0.000
Na3 Na 0.500 0.000 0.000
Ir1 Ir 0.000 0.000 0.000
I1 I 0.500 0.500 0.500

# Na2IrI GGA-PBE relaxed
# - Polymorph energy (0 for the lowest one): 19.6 kJ per mole of atoms
# - Formation energy (no corrections): 0.432 eV/atom
# - SG: Fm-3m, No. 225
data_Na2IrI
_chemical_formula_sum 'Na2 Ir1 I1'
_symmetry_space_group_name_H-M 'P 1'
_symmetry_Int_Tables_number 1
_cell_length_a 5.269
_cell_length_b 5.269
_cell_length_c 5.269
_cell_angle_alpha 60.00
_cell_angle_beta 60.00
_cell_angle_gamma 60.00
loop_
_symmetry_equiv_pos_as_xyz
'x,y,z'
loop_
_atom_site_label
_atom_site_type_symbol
_atom_site_fract_x
_atom_site_fract_y
_atom_site_fract_z
Na1 Na 0.250 0.250 0.250
Na2 Na 0.750 0.750 0.750
Ir1 Ir 0.000 0.000 0.000
I1 I 0.500 0.500 0.500

# Na2IrI GGA-PBE relaxed
# - Polymorph energy (0 for the lowest one): 0.0 kJ per mole of atoms
# - Formation energy (no corrections): 0.229 eV/atom
# - SG: I-42d, No. 122
data_Na2IrI
_chemical_formula_sum 'Na4 Ir2 I2'
_symmetry_space_group_name_H-M 'P 1'
_symmetry_Int_Tables_number 1
_cell_length_a 8.314
_cell_length_b 8.314
_cell_length_c 8.314
_cell_angle_alpha 95.43
_cell_angle_beta 95.43
_cell_angle_gamma 144.18
loop_
_symmetry_equiv_pos_as_xyz
'x,y,z'
loop_
_atom_site_label
_atom_site_type_symbol
_atom_site_fract_x
_atom_site_fract_y
_atom_site_fract_z
Na1 Na 0.375 0.129 0.254
Na2 Na 0.871 0.125 0.246
Na3 Na 0.875 0.121 0.746
Na4 Na 0.879 0.625 0.754
Ir1 Ir 0.000 0.000 0.000
Ir2 Ir 0.750 0.250 0.500
I1 I 0.250 0.750 0.500
I2 I 0.500 0.500 0.000